1.
UPaGa4 (GGA-PBE, relaxed); offset from the most stable computed form = 0.0 meV/atom; calculated volume = 116 Å³/f.u.; energy relative to the elements = -0.2518 eV per atom; raw total energy = -5.7338 eV/atom
1.0
-4.2784 -1.7996 -2.9065
0.6841 -3.9735 -3.7060
-2.0382 -4.9964 0.9345
Ga U Pa
4 1 1
Cartesian
-3.8631 -4.7438 -1.6950
-3.5208 -6.7318 -3.5492
-1.3802 -5.8314 -2.0950
-2.5010 -4.2320 -4.0168
0.0000 0.0000 0.0000
-1.4081 -2.6924 -1.4195



2.
UPaGa2 (GGA-PBE, relaxed); offset from the most stable computed form = 4.5 meV/atom; calculated volume = 82 Å³/f.u.; energy relative to the elements = -0.1477 eV per atom; raw total energy = -6.8572 eV/atom
1.0
4.4450 0.0000 0.0000
0.0000 4.3076 0.0000
0.0000 0.0000 4.3076
Ga U Pa
2 1 1
Cartesian
0.0000 2.1538 0.0000
0.0000 0.0000 2.1538
2.2225 2.1538 2.1538
2.2225 0.0000 0.0000



3.
UPaGa6 (GGA-PBE, relaxed); calculated volume = 157 Å³/f.u.; energy relative to the elements = -0.3040 eV per atom; raw total energy = -5.1722 eV/atom
1.0
-3.3448 -0.7253 2.5406
-2.3933 -3.6728 -4.1994
2.9037 -4.7219 2.4748
Ga Pa U
6 1 1
Cartesian
0.3838 -6.3131 -1.2969
-1.0797 -3.9330 -2.5443
-0.2206 -2.7236 2.5077
1.5901 -4.4617 0.8197
-2.8690 -2.1991 -0.8294
0.1266 -2.0816 -0.4276
-1.4172 -4.5600 0.4080
-1.6724 -0.3626 1.2703



4.
UPa2Ga6 (GGA-PBE, relaxed); calculated volume = 178 Å³/f.u.; energy relative to the elements = -0.2528 eV per atom; raw total energy = -5.6352 eV/atom
1.0
-3.0184 0.4265 0.9565
2.6013 1.9748 7.3283
1.6358 7.6577 1.7476
Ga Pa U
6 2 1
Cartesian
0.7708 4.0796 5.9491
0.4480 5.9794 4.0834
0.9919 8.5283 4.6652
0.2269 1.5307 5.3673
-0.4173 5.3221 1.6441
1.6360 4.7369 8.3884
2.8247 6.4217 6.0507
-1.6060 3.6373 3.9818
0.0000 0.0000 0.0000



5.
UPaGa2 (GGA-PBE, relaxed); offset from the most stable computed form = 38.3 meV/atom; calculated volume = 83 Å³/f.u.; energy relative to the elements = -0.1139 eV per atom; raw total energy = -6.8234 eV/atom
1.0
-2.4586 -3.2949 -3.0332
5.3306 -2.2667 -1.8532
-0.1329 -3.5787 3.9952
Ga Pa U
4 2 2
Cartesian
2.7488 -3.3482 -2.8899
0.0561 -4.0205 0.0210
-0.0097 -5.7921 1.9987
2.6831 -5.1198 -0.9122
4.6836 -4.7186 1.3329
-1.9445 -4.4217 -2.2242
2.1042 -3.6216 2.2299
0.6349 -5.5188 -3.1211



6.
PaV2Ga (GGA-PBE, relaxed); offset from the most stable computed form = 12.3 meV/atom; calculated volume = 66 Å³/f.u.; energy relative to the elements = -0.0618 eV per atom; raw total energy = -7.7518 eV/atom
1.0
-2.8299 -1.7173 0.8649
2.4172 -3.5733 0.8138
0.4948 1.2841 4.1689
V Pa Ga
2 1 1
Cartesian
1.2086 -1.7866 0.4069
0.2474 0.6421 2.0845
-1.4149 -0.8587 0.4324
0.0411 -2.0033 2.9238



7.
Pa3VGa12 (GGA-PBE, relaxed); calculated volume = 300 Å³/f.u.; energy relative to the elements = -0.3014 eV per atom; raw total energy = -4.9220 eV/atom
1.0
4.2619 0.0000 0.0000
0.0000 4.2619 0.0000
0.0000 0.0000 16.5181
Ga Pa V
12 3 1
Cartesian
0.0000 2.1310 10.4298
0.0000 2.1310 6.0884
0.0000 2.1310 14.7402
2.1310 0.0000 1.7779
2.1310 2.1310 8.2591
2.1310 2.1310 4.0122
2.1310 2.1310 0.0000
2.1310 0.0000 14.7402
2.1310 0.0000 10.4298
0.0000 2.1310 1.7779
2.1310 0.0000 6.0884
2.1310 2.1310 12.5060
0.0000 0.0000 8.2591
0.0000 0.0000 12.6100
0.0000 0.0000 3.9082
0.0000 0.0000 0.0000



8.
PaVGa (GGA-PBE, relaxed); offset from the most stable computed form = 204.2 meV/atom; calculated volume = 56 Å³/f.u.; energy relative to the elements = 0.0171 eV per atom; raw total energy = -7.1967 eV/atom
1.0
4.2675 0.0000 0.0000
2.1338 5.4852 1.8416
2.1338 1.9409 5.4509
V Ga Pa
2 2 2
Cartesian
4.2675 0.8382 0.8231
4.2675 6.5880 6.4693
4.2675 4.6042 2.7388
4.2675 2.8220 4.5536
6.4013 5.1897 5.0962
2.1338 2.2365 2.1962



9.
PaVGa2 (GGA-PBE, relaxed); offset from the most stable computed form = 252.1 meV/atom; calculated volume = 78 Å³/f.u.; energy relative to the elements = -0.0354 eV per atom; raw total energy = -6.2025 eV/atom
1.0
-2.6549 -2.8935 -1.7794
1.6126 -3.3378 -2.2012
-0.2175 -4.7102 2.7610
V Ga Pa
1 2 1
Cartesian
-0.6299 -5.4708 -0.6098
-0.9562 -7.9781 -1.2687
-0.3037 -2.9634 0.0491
0.0000 0.0000 0.0000



10.
PaVGa2 (GGA-PBE, relaxed); offset from the most stable computed form = 216.5 meV/atom; calculated volume = 73 Å³/f.u.; energy relative to the elements = -0.0710 eV per atom; raw total energy = -6.2381 eV/atom
1.0
-3.6532 -2.9301 -0.4733
2.3500 -2.6591 -1.6767
0.7763 -1.5376 3.5267
V Ga Pa
1 2 1
Cartesian
-1.8266 -1.4650 -0.2367
0.3882 -0.7688 1.7634
1.1750 -1.3296 -0.8383
-0.2634 -3.5634 0.6884



11.
PaVGa (GGA-PBE, relaxed); offset from the most stable computed form = 0.0 meV/atom; calculated volume = 55 Å³/f.u.; energy relative to the elements = -0.1871 eV per atom; raw total energy = -7.4009 eV/atom
1.0
-4.4404 -2.3843 1.8321
3.0337 -2.5442 -3.6168
4.2383 0.6093 3.2286
V Ga Pa
2 2 2
Cartesian
-0.1011 -0.8875 2.5304
3.6360 -0.9675 -0.1941
1.5169 -1.2721 -1.8084
1.4158 -2.1596 0.7219
2.8369 -0.3435 2.8385
-0.0053 -3.9756 -1.3946



12.
PaV4Ga (GGA-PBE, relaxed); calculated volume = 98 Å³/f.u.; energy relative to the elements = 0.1591 eV per atom; raw total energy = -8.0071 eV/atom
1.0
5.1749 0.0000 0.0000
2.5874 4.4816 0.0000
2.5874 1.4939 4.2253
Ga V Pa
1 4 1
Cartesian
0.0000 0.0000 0.0000
3.9058 3.7204 2.6307
5.1749 1.5224 2.6307
5.1749 2.9877 0.5584
6.4439 3.7204 2.6307
2.5874 1.4939 1.0563



Calculated spin magnetization in order - 4.59; 2.49; 2.45; 2.98; 3.83; 0.78; 1.78; 0.00; 1.66; 0.00; 0.63; 0.00 μB/cell